1.
DFT (GGA-PBE) results for a relaxed Ho2TmNpAs4 crystal.

Cell and atoms, written as POSCAR:
```
Ho2TmNpAs4
1.0
7.080 0.000 0.000
0.000 4.085 0.000
-2.343 0.000 6.686
Ho Tm Np As
2 1 1 4
Direct
0.000 0.000 0.000 Ho
0.500 0.500 0.000 Ho
0.000 0.500 0.500 Tm
0.500 0.000 0.500 Np
0.250 0.000 0.747 As
0.250 0.500 0.251 As
0.750 0.000 0.253 As
0.750 0.500 0.749 As
```

Properties
* VASP energy: -6.9467 eV/atom
* total magnetic moment: 3.76 μB per formula unit
* formation energy: -10.4 eV per formula unit


2.
DFT (GGA-PBE) results for a relaxed HfTe2Ru crystal.

Cell and atoms, written as POSCAR:
```
HfTe2Ru
1.0
3.423 0.000 0.000
-1.711 2.964 0.000
0.000 0.000 27.966
Hf Te Ru
3 6 3
Direct
0.000 0.000 0.000 Hf
0.333 0.667 0.667 Hf
0.667 0.333 0.333 Hf
0.000 0.000 0.102 Te
0.000 0.000 0.898 Te
0.333 0.667 0.564 Te
0.333 0.667 0.769 Te
0.667 0.333 0.231 Te
0.667 0.333 0.436 Te
0.000 0.000 0.500 Ru
0.333 0.667 0.167 Ru
0.667 0.333 0.833 Ru
```

Properties
* offset from the most stable computed form: 261 meV per atom
* VASP energy: -6.1614 eV/atom
* energy relative to the elements, uncorrected: 217 meV/atom
* total magnetic moment: 0.00 μB per formula unit


3.
DFT (GGA-PBE) results for a relaxed HfZrIN2 crystal.

Cell and atoms, written as POSCAR:
```
HfZrIN2
1.0
4.207 0.000 0.000
0.000 4.207 0.000
0.000 0.000 5.549
Hf Zr I N
1 1 1 2
Direct
0.000 0.000 0.000 Hf
0.500 0.500 0.500 Zr
0.000 0.000 0.500 I
0.000 0.500 0.000 N
0.500 0.000 0.000 N
```

Properties
* offset from the most stable computed form: 0 meV per atom
* VASP energy: -6.9720 eV/atom
* energy relative to the elements, uncorrected: 369 meV/atom
* total magnetic moment: 0.58 μB per formula unit


Which of these has the lowest VASP energy? HfZrIN2


What is the VASP energy in the first record? -6.9467 eV/atom


total magnetic moment of number 1 (Ho2TmNpAs4)? 3.76 μB per formula unit


Which of these has the highest VASP energy? HfTe2Ru